w | # Tc2HgP

Tc2HgP at its PBEsol-relaxed geometry (SCAN, Alexandria via LeMat-Bulk).

Summary:
Volume ... 15.280 Å³ per atom
Symmetry ... Cmmm, No. 65

Lattice parameters (Å, degrees): 2.873 2.873 8.250 90.00 90.00 116.13
Atoms (fractional coordinates):
Tc (0.000, 0.000, 0.206)
Tc (0.000, 0.000, 0.794)
Hg (0.500, 0.500, 0.500)
P (0.500, 0.500, 0.000)


x | # Tc2HgP

Tc2HgP at its PBEsol-relaxed geometry (SCAN, Alexandria via LeMat-Bulk).

Summary:
Volume ... 16.477 Å³ per atom
Symmetry ... Cm, No. 8

Lattice parameters (Å, degrees): 3.577 3.577 6.703 106.96 106.96 54.47
Atoms (fractional coordinates):
Tc (0.000, 0.000, 0.000)
Tc (0.242, 0.242, 0.661)
Hg (0.809, 0.809, 0.332)
P (0.619, 0.619, 0.828)


Referenced to the most stable arrangement, the calculated values in eV/atom are w 0.186; x 0.000.


w | # HgTeP2

HgTeP2 at its PBEsol-relaxed geometry (SCAN, Alexandria via LeMat-Bulk).

Summary:
Volume ... 21.504 Å³ per atom
Symmetry ... I-4m2, No. 119

Lattice parameters (Å, degrees): 6.564 6.564 6.564 146.45 146.45 48.17
Atoms (fractional coordinates):
Hg (0.000, 0.000, 0.000)
Te (0.250, 0.750, 0.500)
P (0.500, 0.500, 0.000)
P (0.750, 0.250, 0.500)


x | # HgTeP2

HgTeP2 at its PBEsol-relaxed geometry (SCAN, Alexandria via LeMat-Bulk).

Summary:
Volume ... 22.139 Å³ per atom
Symmetry ... Imm2, No. 44

Lattice parameters (Å, degrees): 7.263 7.263 7.263 154.70 147.18 41.89
Atoms (fractional coordinates):
Hg (0.000, 0.000, 0.000)
Te (0.654, 0.154, 0.500)
P (0.284, 0.784, 0.500)
P (0.393, 0.393, 0.000)


y | # HgTeP2

HgTeP2 at its PBEsol-relaxed geometry (SCAN, Alexandria via LeMat-Bulk).

Summary:
Volume ... 21.747 Å³ per atom
Symmetry ... R3m, No. 160

Lattice parameters (Å, degrees): 9.437 9.437 9.437 20.12 20.12 20.12
Atoms (fractional coordinates):
Hg (0.000, 0.000, 0.000)
Te (0.773, 0.773, 0.773)
P (0.241, 0.241, 0.241)
P (0.531, 0.531, 0.531)


Referenced to the most stable arrangement, the calculated values in eV/atom are w 0.540; x 0.115; y 0.000.


w | # HgTeP

HgTeP at its PBEsol-relaxed geometry (SCAN, Alexandria via LeMat-Bulk).

Summary:
Volume ... 24.815 Å³ per atom
Symmetry ... I4mm, No. 107

Lattice parameters (Å, degrees): 6.627 6.627 6.627 149.57 149.57 43.57
Atoms (fractional coordinates):
Hg (0.000, 0.000, 0.000)
Te (0.284, 0.284, 0.000)
P (0.693, 0.693, 0.000)


x | # HgTeP

HgTeP at its PBEsol-relaxed geometry (SCAN, Alexandria via LeMat-Bulk).

Summary:
Volume ... 27.293 Å³ per atom
Symmetry ... I4mm, No. 107

Lattice parameters (Å, degrees): 6.424 6.424 6.424 146.15 146.15 48.62
Atoms (fractional coordinates):
Hg (0.000, 0.000, 0.000)
Te (0.277, 0.277, 0.000)
P (0.483, 0.483, 0.000)


Referenced to the most stable arrangement, the calculated values in eV/atom are w 0.084; x 0.000.


w | # TlHgP2

TlHgP2 at its PBEsol-relaxed geometry (SCAN, Alexandria via LeMat-Bulk).

Summary:
Volume ... 21.688 Å³ per atom
Symmetry ... R3m, No. 160

Lattice parameters (Å, degrees): 9.435 9.435 9.435 20.10 20.10 20.10
Atoms (fractional coordinates):
Tl (0.000, 0.000, 0.000)
Hg (0.236, 0.236, 0.236)
P (0.479, 0.479, 0.479)
P (0.768, 0.768, 0.768)


x | # TlHgP2

TlHgP2 at its PBEsol-relaxed geometry (SCAN, Alexandria via LeMat-Bulk).

Summary:
Volume ... 25.478 Å³ per atom
Symmetry ... I-42d, No. 122

Lattice parameters (Å, degrees): 7.214 7.214 7.214 131.91 131.91 70.38
Atoms (fractional coordinates):
Tl (0.000, 0.000, 0.000)
Tl (0.750, 0.250, 0.500)
Hg (0.250, 0.750, 0.500)
Hg (0.500, 0.500, 0.000)
P (0.137, 0.625, 0.012)
P (0.375, 0.387, 0.512)
P (0.613, 0.125, 0.988)
P (0.875, 0.863, 0.488)


Referenced to the most stable arrangement, the calculated values in eV/atom are w 0.000; x 0.264.


w | # Y2HgP

Y2HgP at its PBEsol-relaxed geometry (SCAN, Alexandria via LeMat-Bulk).

Summary:
Volume ... 22.018 Å³ per atom
Symmetry ... Pmmm, No. 47

Lattice parameters (Å, degrees): 3.670 4.892 4.906 90.00 90.00 90.00
Atoms (fractional coordinates):
Y (0.000, 0.000, 0.000)
Y (0.000, 0.500, 0.500)
Hg (0.500, 0.000, 0.500)
P (0.500, 0.500, 0.000)


x | # Y2HgP

Y2HgP at its PBEsol-relaxed geometry (SCAN, Alexandria via LeMat-Bulk).

Summary:
Volume ... 24.408 Å³ per atom
Symmetry ... R-3m, No. 166

Lattice parameters (Å, degrees): 7.799 7.799 7.799 28.85 28.85 28.85
Atoms (fractional coordinates):
Y (0.237, 0.237, 0.237)
Y (0.763, 0.763, 0.763)
Hg (0.000, 0.000, 0.000)
P (0.500, 0.500, 0.500)


Referenced to the most stable arrangement, the calculated values in eV/atom are w 0.339; x 0.000.


w | # Zr2HgP

Zr2HgP at its PBEsol-relaxed geometry (SCAN, Alexandria via LeMat-Bulk).

Summary:
Volume ... 18.614 Å³ per atom
Symmetry ... Fm-3m, No. 225

Lattice parameters (Å, degrees): 4.722 4.722 4.722 60.00 60.00 60.00
Atoms (fractional coordinates):
Zr (0.250, 0.250, 0.250)
Zr (0.750, 0.750, 0.750)
Hg (0.000, 0.000, 0.000)
P (0.500, 0.500, 0.500)


x | # Zr2HgP

Zr2HgP at its PBEsol-relaxed geometry (SCAN, Alexandria via LeMat-Bulk).

Summary:
Volume ... 20.240 Å³ per atom
Symmetry ... C2/m, No. 12

Lattice parameters (Å, degrees): 3.621 3.621 7.485 102.70 102.70 58.48
Atoms (fractional coordinates):
Zr (0.230, 0.230, 0.200)
Zr (0.770, 0.770, 0.800)
Hg (0.000, 0.000, 0.500)
P (0.500, 0.500, 0.000)


y | # Zr2HgP

Zr2HgP at its PBEsol-relaxed geometry (SCAN, Alexandria via LeMat-Bulk).

Summary:
Volume ... 18.745 Å³ per atom
Symmetry ... P4/mmm, No. 123

Lattice parameters (Å, degrees): 3.179 3.179 7.418 90.00 90.00 90.00
Atoms (fractional coordinates):
Zr (0.000, 0.000, 0.209)
Zr (0.000, 0.000, 0.791)
Hg (0.500, 0.500, 0.500)
P (0.500, 0.500, 0.000)


Referenced to the most stable arrangement, the calculated values in eV/atom are w 0.480; x 0.000; y 0.288.


w | # Hg2Pb

Hg2Pb at its PBEsol-relaxed geometry (SCAN, Alexandria via LeMat-Bulk).

Summary:
Volume ... 25.140 Å³ per atom
Symmetry ... I4/mmm, No. 139

Lattice parameters (Å, degrees): 5.952 5.952 5.952 143.14 143.14 53.12
Atoms (fractional coordinates):
Hg (0.174, 0.174, 0.000)
Hg (0.826, 0.826, 0.000)
Pb (0.500, 0.500, 0.000)


x | # Hg2Pb

Hg2Pb at its PBEsol-relaxed geometry (SCAN, Alexandria via LeMat-Bulk).

Summary:
Volume ... 25.151 Å³ per atom
Symmetry ... Fd-3m, No. 227

Lattice parameters (Å, degrees): 5.976 5.976 5.976 60.00 60.00 60.00
Atoms (fractional coordinates):
Hg (0.000, 0.000, 0.000)
Hg (0.000, 0.000, 0.500)
Hg (0.000, 0.500, 0.000)
Hg (0.500, 0.000, 0.000)
Pb (0.375, 0.375, 0.375)
Pb (0.625, 0.625, 0.625)


Referenced to the most stable arrangement, the calculated values in eV/atom are w 0.000; x 0.062.


w | # Hg5Pb3

Hg5Pb3 at its PBEsol-relaxed geometry (SCAN, Alexandria via LeMat-Bulk).

Summary:
Volume ... 26.156 Å³ per atom
Symmetry ... I4/mcm, No. 140

Lattice parameters (Å, degrees): 8.841 8.841 8.841 96.76 96.76 139.86
Atoms (fractional coordinates):
Hg (0.065, 0.757, 0.822)
Hg (0.243, 0.065, 0.308)
Hg (0.250, 0.750, 0.500)
Hg (0.257, 0.565, 0.822)
Hg (0.435, 0.257, 0.692)
Hg (0.565, 0.743, 0.308)
Hg (0.743, 0.435, 0.178)
Hg (0.750, 0.250, 0.500)
Hg (0.757, 0.935, 0.692)
Hg (0.935, 0.243, 0.178)
Pb (0.182, 0.318, 0.500)
Pb (0.250, 0.250, 0.000)
Pb (0.318, 0.818, 0.137)
Pb (0.682, 0.182, 0.863)
Pb (0.750, 0.750, 0.000)
Pb (0.818, 0.682, 0.500)


x | # Hg5Pb3

Hg5Pb3 at its PBEsol-relaxed geometry (SCAN, Alexandria via LeMat-Bulk).

Summary:
Volume ... 26.361 Å³ per atom
Symmetry ... P6_3/mcm, No. 193

Lattice parameters (Å, degrees): 9.152 9.152 5.815 90.00 90.00 120.00
Atoms (fractional coordinates):
Hg (0.000, 0.206, 0.250)
Hg (0.000, 0.794, 0.750)
Hg (0.206, 0.000, 0.250)
Hg (0.206, 0.206, 0.750)
Hg (0.333, 0.667, 0.000)
Hg (0.333, 0.667, 0.500)
Hg (0.667, 0.333, 0.000)
Hg (0.667, 0.333, 0.500)
Hg (0.794, 0.000, 0.750)
Hg (0.794, 0.794, 0.250)
Pb (0.000, 0.394, 0.750)
Pb (0.000, 0.606, 0.250)
Pb (0.394, 0.000, 0.750)
Pb (0.394, 0.394, 0.250)
Pb (0.606, 0.000, 0.250)
Pb (0.606, 0.606, 0.750)


Referenced to the most stable arrangement, the calculated values in eV/atom are w 0.015; x 0.000.